The following is a DFT calculation (PBE+U) of an optimized crystal structure of UCoPtO6.

Structure (POSCAR):
```
UCoPtO6
1.0
5.256 0.000 0.000
-2.628 4.552 0.000
0.000 0.000 9.253
O U Co Pt
12 2 2 2
direct
0.332 0.992 0.128
0.992 0.332 0.628
0.340 0.008 0.628
0.668 0.660 0.628
0.660 0.992 0.372
0.008 0.340 0.128
0.668 0.008 0.872
0.660 0.668 0.128
0.340 0.332 0.872
0.008 0.668 0.372
0.992 0.660 0.872
0.332 0.340 0.372
0.667 0.333 0.250
0.333 0.667 0.750
0.000 0.000 0.000
0.000 0.000 0.500
0.333 0.667 0.250
0.667 0.333 0.750
```

SG ... P-31c (163)
E ... -135.35 eV for the cell shown